[1]
## TbLuTlRh (PBE-GGA)

Data for a relaxed structure of TbLuTlRh.

energy of formation = -507 meV per atom
volume = 23.1 A^3/atom
SG = F-43m
DOS(E_F) = 1.5 states/eV per cell

a = 5.0759 Å, b = 5.0759 Å, c = 5.0759 Å
α = 60.00°, β = 60.00°, γ = 60.00°
Closest atoms and distances in Å follow each position.
Element x y z (fractional)
Tb  0.0000  0.0000  0.0000  4 Tl 3.11, 4 Rh 3.11
Lu  0.5000  0.5000  0.5000  4 Tl 3.11, 4 Rh 3.11
Tl  0.7500  0.7500  0.7500  4 Lu 3.11, 4 Tb 3.11
Rh  0.2500  0.2500  0.2500  4 Lu 3.11, 4 Tb 3.11

---

[2]
## Lu2TcRh (PBE-GGA)

Data for a relaxed structure of Lu2TcRh.

energy of formation = -472 meV per atom
volume = 19.0 A^3/atom
SG = P4/mmm
DOS(E_F) = 5.2 states/eV per cell

a = 3.3503 Å, b = 3.3503 Å, c = 6.7683 Å
α = 90.00°, β = 90.00°, γ = 90.00°
Closest atoms and distances in Å follow each position.
Element x y z (fractional)
Lu  0.0000  0.0000  0.2486  4 Tc 2.91, 4 Rh 2.92
Lu  0.0000  0.0000  0.7514  4 Tc 2.91, 4 Rh 2.92
Tc  0.5000  0.5000  0.0000  8 Lu 2.91
Rh  0.5000  0.5000  0.5000  8 Lu 2.92

---

[3]
## LuThTcRh (PBE-GGA)

Data for a relaxed structure of LuThTcRh.

energy of formation = -495 meV per atom
volume = 20.8 A^3/atom
SG = F-43m
DOS(E_F) = 3.2 states/eV per cell

a = 4.8969 Å, b = 4.8969 Å, c = 4.8969 Å
α = 60.00°, β = 60.00°, γ = 60.00°
Closest atoms and distances in Å follow each position.
Element x y z (fractional)
Lu  0.0000  0.0000  0.0000  4 Rh 3.00, 4 Tc 3.00
Th  0.5000  0.5000  0.5000  4 Rh 3.00, 4 Tc 3.00
Tc  0.2500  0.2500  0.2500  4 Th 3.00, 4 Lu 3.00
Rh  0.7500  0.7500  0.7500  4 Th 3.00, 4 Lu 3.00

---

[4]
## Lu2TeRh (PBE-GGA)

Data for a relaxed structure of Lu2TeRh.

volume = 22.7 A^3/atom
SG = P4/mmm
DOS(E_F) = 1.8 states/eV per cell
energy relative to the elements, uncorrected = -903 meV per atom

a = 3.5689 Å, b = 3.5689 Å, c = 7.1443 Å
α = 90.00°, β = 90.00°, γ = 90.00°
Closest atoms and distances in Å follow each position.
Element x y z (fractional)
Lu  0.0000  0.0000  0.2225  4 Rh 2.98, 1 Lu 3.18, 4 Te 3.21
Lu  0.0000  0.0000  0.7775  4 Rh 2.98, 1 Lu 3.18, 4 Te 3.21
Te  0.5000  0.5000  0.5000  8 Lu 3.21, 4 Te 3.57, 2 Rh 3.57
Rh  0.5000  0.5000  0.0000  8 Lu 2.98